# 1
A plane-wave DFT calculation with PBE-GGA was carried out for a geometry-optimized CeGd2Zn structure.

E above lowest polymorph = 0.0 meV/atom
DOS(E_F) = 6.2 states/eV/f.u.
DFT formation energy = -119.0 meV per atom
Final energy = -8.96 eV per atom
Theoretical density = 7.85 g cm⁻³

Cell lengths 3.5539, 3.5539, 8.7129 Å; angles 90.00, 90.00, 90.00 degrees
With the nearest neighbours (Å) after each atom.
Space group P4/mmm (No. 123)
Inequivalent atoms, fractional coordinates:
Ce (0.0000, 0.0000, 0.0000) [1 per cell]  4 Ce 3.55, 8 Gd 3.57
Gd (0.5000, 0.5000, 0.2910) [2 per cell]  4 Zn 3.10
Zn (0.0000, 0.0000, 0.5000) [1 per cell]  8 Gd 3.10

# 2
A plane-wave DFT calculation with PBE-GGA was carried out for a geometry-optimized CeGd2Zn structure.

E above lowest polymorph = 182.5 meV/atom
DOS(E_F) = 6.5 states/eV/f.u.
DFT formation energy = 63.5 meV per atom
Final energy = -8.78 eV per atom
Theoretical density = 8.15 g cm⁻³

Cell lengths 7.5127, 7.5127, 7.5127 Å; angles 90.00, 90.00, 90.00 degrees
With the nearest neighbours (Å) after each atom.
Space group Fm-3m (No. 225)
Inequivalent atoms, fractional coordinates:
Ce (0.0000, 0.0000, 0.0000) [4 per cell]  8 Gd 3.25
Gd (0.2500, 0.2500, 0.2500) [8 per cell]  4 Zn 3.25, 4 Ce 3.25
Zn (0.0000, 0.0000, 0.5000) [4 per cell]  8 Gd 3.25

# 3
A plane-wave DFT calculation with PBE-GGA was carried out for a geometry-optimized CeGdZn structure.

E above lowest polymorph = 0.0 meV/atom
DOS(E_F) = 5.8 states/eV/f.u.
DFT formation energy = -130.6 meV per atom
Final energy = -7.23 eV per atom
Theoretical density = 7.56 g cm⁻³

Cell lengths 3.5930, 3.5930, 12.3370 Å; angles 90.00, 90.00, 90.00 degrees
With the nearest neighbours (Å) after each atom.
Space group I4mm (No. 107)
Inequivalent atoms, fractional coordinates:
Ce (0.0000, 0.0000, 0.0000) [2 per cell]  4 Zn 3.15
Gd (0.0000, 0.0000, 0.7070) [2 per cell]  4 Zn 3.09
Zn (0.0000, 0.0000, 0.3490) [2 per cell]  4 Gd 3.09, 4 Ce 3.15